(1)
Material: CuSiAu3
Method: DFT, PBE-GGA
State: optimized geometry

Energy relative to the lowest polymorph listed for this composition ... 0.0000 eV per atom
V ... 332.77 Å³ per cell
Uncorrected formation energy ... 0.12 eV per formula unit
Raw total energy ... -76.93 eV for the cell shown

Unit cell a=5.4946 b=4.3874 c=13.8038 alpha=90.00 beta=90.00 gamma=90.00
With the nearest neighbours (Å) after each atom.
Space group Pnma (No. 62)
Unique sites:
Cu: 0.1665 0.2500 0.0721 x4  9 Au 2.70-2.94, 2 Si 2.82
Si: 0.0693 0.2500 0.6462 x4  4 Au 2.50-2.66
Au: 0.0678 0.7500 0.7368 x4  2 Si 2.52, 1 Cu 2.70, 2 Au 2.77
Au: 0.0876 0.2500 0.8719 x4  2 Si 2.66-2.86, 3 Cu 2.71-2.80, 4 Au 2.88-2.90
Au: 0.1715 0.2500 0.4698 x4  1 Si 2.50, 3 Cu 2.76-2.78



(2)
Material: CuSi2Au
Method: DFT, PBE-GGA
State: optimized geometry

Energy relative to the lowest polymorph listed for this composition ... 0.3046 eV per atom
V ... 126.03 Å³ per cell
Uncorrected formation energy ... 1.29 eV per formula unit
Raw total energy ... -33.87 eV for the cell shown

Unit cell a=2.6689 b=5.3473 c=8.8308 alpha=90.00 beta=90.00 gamma=90.00
With the nearest neighbours (Å) after each atom.
Space group Cmmm (No. 65)
Unique sites:
Cu: 0.0000 0.0000 0.0000 x2  4 Si 2.45, 2 Cu 2.67
Si: 0.0000 0.5000 0.2329 x4  2 Cu 2.45, 2 Si 2.67, 2 Au 2.71
Au: 0.0000 0.0000 0.5000 x2  6 Au 2.67-2.99, 4 Si 2.71



(3)
Material: CuSiAu2
Method: DFT, PBE-GGA
State: optimized geometry

V ... 63.25 Å³ per cell
Uncorrected formation energy ... 0.41 eV per formula unit
Raw total energy ... -15.66 eV for the cell shown

Unit cell a=2.8525 b=2.8525 c=7.7735 alpha=90.00 beta=90.00 gamma=90.00
With the nearest neighbours (Å) after each atom.
Space group P4mm (No. 99)
Unique sites:
Cu: 0.0000 0.0000 0.0000 x1  4 Si 2.54, 4 Au 2.79
Si: 0.5000 0.5000 0.1995 x1  4 Cu 2.54, 4 Au 2.84
Au: 0.0000 0.0000 0.4565 x1  4 Si 2.84, 8 Au 2.85-3.06
Au: 0.5000 0.5000 0.7527 x1  4 Cu 2.79, 8 Au 2.85-3.06



(4)
Material: Cu5SiAu
Method: DFT, PBE-GGA
State: optimized geometry

Energy relative to the lowest polymorph listed for this composition ... 0.0501 eV per atom
V ... 198.12 Å³ per cell
Uncorrected formation energy ... 0.39 eV per formula unit
Raw total energy ... -57.57 eV for the cell shown

Unit cell a=5.0496 b=7.2566 c=5.4069 alpha=90.00 beta=90.00 gamma=90.00
With the nearest neighbours (Å) after each atom.
Space group Cmmm (No. 65)
Unique sites:
Cu: 0.0000 0.0000 0.0000 x2  2 Si 2.52, 8 Cu 2.56, 2 Au 2.70
Cu: 0.2500 0.2500 0.2391 x8  6 Cu 2.52-2.82, 2 Si 2.56, 2 Au 2.62
Si: 0.0000 0.5000 0.0000 x2  10 Cu 2.52-2.56
Au: 0.0000 0.0000 0.5000 x2  10 Cu 2.62-2.70



(5)
Material: CuSi2Au
Method: DFT, PBE-GGA
State: optimized geometry

Energy relative to the lowest polymorph listed for this composition ... 0.3660 eV per atom
V ... 303.21 Å³ per cell
Uncorrected formation energy ... 1.53 eV per formula unit
Raw total energy ... -66.75 eV for the cell shown

Unit cell a=6.2023 b=6.2023 c=7.8822 alpha=90.00 beta=90.00 gamma=90.00
With the nearest neighbours (Å) after each atom.
Space group I-42d (No. 122)
Unique sites:
Cu: 0.0000 0.0000 0.0000 x4  4 Si 2.33
Si: 0.2319 0.2500 0.1250 x8  2 Cu 2.33, 2 Au 2.48
Au: 0.0000 0.0000 0.5000 x4  4 Si 2.48



(6)
Material: Cu2SiAu8
Method: DFT, PBE-GGA
State: optimized geometry

Energy relative to the lowest polymorph listed for this composition ... 0.0482 eV per atom
V ... 414.93 Å³ per cell
Uncorrected formation energy ... 0.98 eV per formula unit
Raw total energy ... -77.71 eV for the cell shown

Unit cell a=9.8328 b=9.1040 c=4.8977 alpha=90.00 beta=108.85 gamma=90.00
With the nearest neighbours (Å) after each atom.
Space group C2/m (No. 12)
Unique sites:
Cu: 0.1312 0.0000 0.0019 x4  1 Si 2.38, 1 Cu 2.57
Si: 0.0000 0.0000 0.5000 x2  2 Cu 2.38, 6 Au 2.51-2.57
Au: 0.0808 0.2321 0.2961 x8  1 Si 2.57, 1 Cu 2.69, 4 Au 2.82-2.87
Au: 0.0824 0.5000 0.8038 x4  1 Cu 2.66, 7 Au 2.81-2.93
Au: 0.2329 0.5000 0.4029 x4  1 Si 2.51, 2 Cu 2.72-2.79



(7)
Material: CuSi4Au
Method: DFT, PBE-GGA
State: optimized geometry

V ... 377.94 Å³ per cell
Uncorrected formation energy ... 3.21 eV per formula unit
Raw total energy ... -103.43 eV for the cell shown

Unit cell a=7.2301 b=7.2301 c=7.2301 alpha=90.00 beta=90.00 gamma=90.00
With the nearest neighbours (Å) after each atom.
Space group F-43m (No. 216)
Unique sites:
Cu: 0.0000 0.0000 0.0000 x4  12 Si 3.00, 4 Au 3.13
Si: 0.1255 0.1255 0.3745 x16  6 Si 2.55-2.57
Au: 0.2500 0.2500 0.7500 x4  12 Si 3.00, 4 Cu 3.13



(8)
Material: CuSiAu2
Method: DFT, PBE-GGA
State: optimized geometry

V ... 63.79 Å³ per cell
Uncorrected formation energy ... 0.33 eV per formula unit
Raw total energy ... -15.74 eV for the cell shown

Unit cell a=3.3934 b=3.3195 c=5.6636 alpha=90.00 beta=90.72 gamma=90.00
With the nearest neighbours (Å) after each atom.
Space group P2/m (No. 10)
Unique sites:
Cu: 0.0000 0.0000 0.0000 x1  8 Au 2.75-2.77, 2 Si 2.83
Si: 0.0000 0.0000 0.5000 x1  8 Au 2.74-2.80, 2 Cu 2.83
Au: 0.4893 0.5000 0.7523 x2  4 Si 2.74-2.80, 4 Cu 2.75-2.77, 2 Au 2.81-2.86